A plane-wave DFT calculation with PBE was carried out for LaZrB after structural relaxation.

Cell: 3.5219 4.7809 8.5665 Å, 93.00 89.92 111.71°
Last column: nearest neighbours and their distance in Å.
Element x y z (fractional)
B 0.0666 0.1340 0.0770  1 B 1.73
B 0.9334 0.8659 0.9230  1 B 1.73
Zr 0.6437 0.2866 0.8974  5 B 2.46-2.59
Zr 0.3563 0.7133 0.1026  5 B 2.46-2.59
La 0.6199 0.2427 0.3341  2 B 2.84, 1 Zr 2.99
La 0.3801 0.7572 0.6659  2 B 2.84, 1 Zr 2.99

* DOS at the Fermi energy: 6.24 states/eV per cell
* crystal system: triclinic
* excess energy over the best structure of this formula in the dataset: 174.9 meV per atom
* ΔH_f (0 K): -0.180 eV/atom
* space group: P-1 (2)